{"formula": "Na15Cr7N19", "functional": "meta-GGA SCAN", "state": "PBEsol geometry", "space_group": "No. 2", "magnetic_moment_mub_per_fu": 0.0, "e_form_raw_ev_per_fu": -20.73, "total_energy_ev_per_atom": -9.49, "lattice_angstrom": [[5.874, 0.010, -0.006], [-2.156, 10.915, 0.004], [-1.113, -0.535, 17.629]], "species": ["Na", "Na", "Na", "Na", "Na", "Na", "Na", "Na", "Na", "Na", "Na", "Na", "Na", "Na", "Na", "Na", "Na", "Na", "Na", "Na", "Na", "Na", "Na", "Na", "Na", "Na", "Na", "Na", "Na", "Na", "N", "N", "N", "N", "N", "N", "N", "N", "N", "N", "N", "N", "N", "N", "N", "N", "N", "N", "N", "N", "N", "N", "N", "N", "N", "N", "N", "N", "N", "N", "N", "N", "N", "N", "N", "N", "N", "N", "Cr", "Cr", "Cr", "Cr", "Cr", "Cr", "Cr", "Cr", "Cr", "Cr", "Cr", "Cr", "Cr", "Cr"], "frac_coords": [[0.604, 0.141, 0.642], [0.078, 0.972, 0.604], [0.232, 0.740, 0.633], [0.922, 0.028, 0.396], [0.768, 0.260, 0.367], [0.130, 0.829, 0.159], [0.870, 0.171, 0.841], [0.162, 0.220, 0.707], [0.577, 0.366, 0.839], [0.423, 0.634, 0.161], [0.280, 0.982, 0.802], [0.720, 0.018, 0.198], [0.396, 0.859, 0.358], [0.143, 0.095, 0.101], [0.521, 0.622, 0.446], [0.337, 0.509, 0.707], [0.406, 0.107, 0.465], [0.838, 0.780, 0.293], [0.956, 0.343, 0.012], [0.721, 0.082, 0.011], [0.044, 0.657, 0.988], [0.500, 0.500, 0.000], [0.279, 0.918, 0.989], [0.856, 0.663, 0.798], [0.144, 0.337, 0.202], [0.857, 0.905, 0.899], [0.594, 0.893, 0.535], [0.000, 0.500, 0.500], [0.663, 0.491, 0.293], [0.479, 0.378, 0.554], [0.424, 0.182, 0.198], [0.513, 0.153, 0.896], [0.996, 0.622, 0.227], [0.447, 0.242, 0.043], [0.487, 0.847, 0.104], [0.673, 0.420, 0.156], [0.576, 0.818, 0.802], [0.553, 0.758, 0.957], [0.837, 0.204, 0.125], [0.163, 0.796, 0.875], [0.758, 0.657, 0.089], [0.905, 0.685, 0.535], [0.851, 0.555, 0.673], [0.095, 0.315, 0.465], [0.789, 0.106, 0.519], [0.560, 0.059, 0.324], [0.004, 0.378, 0.773], [0.900, 0.485, 0.907], [0.242, 0.343, 0.911], [0.327, 0.580, 0.844], [0.211, 0.894, 0.481], [0.916, 0.325, 0.615], [0.100, 0.515, 0.093], [0.450, 0.661, 0.295], [0.459, 0.602, 0.585], [0.078, 0.100, 0.950], [0.886, 0.025, 0.743], [0.114, 0.975, 0.257], [0.922, 0.900, 0.050], [0.550, 0.339, 0.705], [0.220, 0.202, 0.340], [0.765, 0.823, 0.420], [0.780, 0.798, 0.660], [0.235, 0.177, 0.580], [0.541, 0.398, 0.415], [0.149, 0.445, 0.327], [0.440, 0.941, 0.676], [0.084, 0.675, 0.385], [0.890, 0.553, 0.139], [0.003, 0.225, 0.544], [0.110, 0.447, 0.861], [0.398, 0.738, 0.868], [0.678, 0.796, 0.051], [0.671, 0.904, 0.721], [0.602, 0.262, 0.132], [0.821, 0.399, 0.690], [0.322, 0.204, 0.949], [0.997, 0.775, 0.456], [0.734, 0.659, 0.613], [0.329, 0.096, 0.279], [0.179, 0.601, 0.310], [0.266, 0.341, 0.387]]}